(1)
## Sm2YCo (PBE-GGA)

Data for a relaxed Sm2YCo crystal.

Geometry as POSCAR:
```
Sm2YCo
1.0
3.494 0.000 0.000
0.000 3.494 0.000
0.000 0.000 8.887
Sm Y Co
2 1 1
Cartesian
0.000 0.000 1.655
0.000 0.000 7.232
1.747 1.747 4.444
1.747 1.747 0.000
```

Output
E_tot = -5.721 eV/atom
D(E_F) = 1.303 states/eV/atom
magnetic moment = 1.5 μB/f.u.
symmetry = P4/mmm (123)


(2)
## BOsAu3 (PBE-GGA)

Data for a relaxed BOsAu3 crystal.

Geometry as POSCAR:
```
BOsAu3
1.0
5.058 0.000 0.000
0.000 5.058 0.000
0.000 0.000 5.058
B Os Au
1 1 3
Cartesian
0.000 0.000 0.000
2.529 2.529 2.529
0.000 2.529 2.529
2.529 0.000 2.529
2.529 2.529 0.000
```

Output
E_tot = -3.462 eV/atom
D(E_F) = 0.818 states/eV/atom
magnetic moment = 1.8 μB/f.u.
symmetry = Pm-3m (221)